Crystalline ErTl2As2O6 at its relaxed geometry, computed with PBE.

Properties
N(E_F)   4.24 states/eV per cell
Symmetry   C2/m (12)
Formation energy (no corrections)   -1.608 eV per atom

Lattice parameters (Å, degrees): 5.7948 5.7948 7.4213 112.13 112.13 62.35
Closest atoms and distances in Å follow each position.
Fractional coordinates of all 11 atoms:
Er 0.0000 0.0000 0.0000  6 O 2.26
Tl 0.2139 0.2139 0.6902  3 O 2.72-2.76
Tl 0.7861 0.7861 0.3098  3 O 2.72-2.76
As 0.4345 0.4345 0.2700  3 O 1.77
As 0.5655 0.5655 0.7300  3 O 1.77
O 0.2433 0.7009 0.7758  1 As 1.77
O 0.2475 0.2475 0.0803  1 As 1.77
O 0.2991 0.7567 0.2242  1 As 1.77
O 0.7009 0.2433 0.7758  1 As 1.77
O 0.7525 0.7525 0.9197  1 As 1.77
O 0.7567 0.2991 0.2242  1 As 1.77